Compound: Th6In2Co
Source: Alexandria via LeMat-Bulk
Functional: PBE-GGA
Structure: optimized geometry

Output
* crystal system: monoclinic
* DFT total energy: -115.9 eV for the cell shown

The structure in CIF format:
```
data_Th6In2Co
_cell_length_a 6.3662
_cell_length_b 8.1196
_cell_length_c 12.0431
_cell_angle_alpha 90.00
_cell_angle_beta 120.05
_cell_angle_gamma 90.00
_symmetry_space_group_name_H-M 'P 1 21/c 1'
_symmetry_Int_Tables_number 14
loop_
_symmetry_equiv_pos_as_xyz
'x,y,z'
'-x,-y,-z'
'-x,y+1/2,-z+1/2'
'x,-y+1/2,z+1/2'
loop_
_atom_site_label
_atom_site_type_symbol
_atom_site_fract_x
_atom_site_fract_y
_atom_site_fract_z
_atom_site_occupancy
Th1 Th 0.0843 0.1904 0.4610 1
Th2 Th 0.3293 0.6762 0.4610 1
Th3 Th 0.3746 0.0248 0.2558 1
In1 In 0.1438 0.1097 0.7469 1
Co1 Co 0.5000 0.0000 0.5000 1
```



Compound: TlCuPd
Source: Alexandria via LeMat-Bulk
Functional: PBE-GGA
Structure: optimized geometry

Output
* polymorph energy (0 for the lowest one): 24 kJ/mol of formula units
* crystal system: trigonal
* DFT total energy: -11.4 eV for the cell shown

The structure in CIF format:
```
data_TlCuPd
_cell_length_a 4.4407
_cell_length_b 4.4407
_cell_length_c 3.0382
_cell_angle_alpha 90.00
_cell_angle_beta 90.00
_cell_angle_gamma 120.00
_symmetry_space_group_name_H-M 'P 3 m 1'
_symmetry_Int_Tables_number 156
loop_
_symmetry_equiv_pos_as_xyz
'x,y,z'
'-y,x-y,z'
'-x+y,-x,z'
'-y,-x,z'
'-x+y,y,z'
'x,x-y,z'
loop_
_atom_site_label
_atom_site_type_symbol
_atom_site_fract_x
_atom_site_fract_y
_atom_site_fract_z
_atom_site_occupancy
Tl1 Tl 0.0000 0.0000 0.0000 1
Cu1 Cu 0.3333 0.6667 0.7136 1
Pd1 Pd 0.6667 0.3333 0.4032 1
```



DFT total energy of number 1 (Th6In2Co)?
-115.9 eV for the cell shown



Which value of DFT total energy does entry 1 give?
-115.9 eV for the cell shown



Repeat the second record exactly.
Compound: TlCuPd
Source: Alexandria via LeMat-Bulk
Functional: PBE-GGA
Structure: optimized geometry

Output
* polymorph energy (0 for the lowest one): 24 kJ/mol of formula units
* crystal system: trigonal
* DFT total energy: -11.4 eV for the cell shown

The structure in CIF format:
```
data_TlCuPd
_cell_length_a 4.4407
_cell_length_b 4.4407
_cell_length_c 3.0382
_cell_angle_alpha 90.00
_cell_angle_beta 90.00
_cell_angle_gamma 120.00
_symmetry_space_group_name_H-M 'P 3 m 1'
_symmetry_Int_Tables_number 156
loop_
_symmetry_equiv_pos_as_xyz
'x,y,z'
'-y,x-y,z'
'-x+y,-x,z'
'-y,-x,z'
'-x+y,y,z'
'x,x-y,z'
loop_
_atom_site_label
_atom_site_type_symbol
_atom_site_fract_x
_atom_site_fract_y
_atom_site_fract_z
_atom_site_occupancy
Tl1 Tl 0.0000 0.0000 0.0000 1
Cu1 Cu 0.3333 0.6667 0.7136 1
Pd1 Pd 0.6667 0.3333 0.4032 1
```



Please write out number 1 again, unchanged.
Compound: Th6In2Co
Source: Alexandria via LeMat-Bulk
Functional: PBE-GGA
Structure: optimized geometry

Output
* crystal system: monoclinic
* DFT total energy: -115.9 eV for the cell shown

The structure in CIF format:
```
data_Th6In2Co
_cell_length_a 6.3662
_cell_length_b 8.1196
_cell_length_c 12.0431
_cell_angle_alpha 90.00
_cell_angle_beta 120.05
_cell_angle_gamma 90.00
_symmetry_space_group_name_H-M 'P 1 21/c 1'
_symmetry_Int_Tables_number 14
loop_
_symmetry_equiv_pos_as_xyz
'x,y,z'
'-x,-y,-z'
'-x,y+1/2,-z+1/2'
'x,-y+1/2,z+1/2'
loop_
_atom_site_label
_atom_site_type_symbol
_atom_site_fract_x
_atom_site_fract_y
_atom_site_fract_z
_atom_site_occupancy
Th1 Th 0.0843 0.1904 0.4610 1
Th2 Th 0.3293 0.6762 0.4610 1
Th3 Th 0.3746 0.0248 0.2558 1
In1 In 0.1438 0.1097 0.7469 1
Co1 Co 0.5000 0.0000 0.5000 1
```